No. 1
Computed, not measured: an optimized crystal structure of Cr2SbW at the GGA-PBE level of DFT.

Summary:
**DFT total energy**: -8.74 eV/atom

a b c (Å): 5.1301 5.1301 5.1301
angles (deg): 143.67 131.64 61.96
Fractional positions:
Cr 0.0000 0.0000 0.0000
Cr 0.7594 0.2594 0.5000
Sb 0.2526 0.7526 0.5000
W 0.5166 0.5166 0.0000


No. 2
Computed, not measured: an optimized crystal structure of CrSbW2 at the GGA-PBE level of DFT.

Summary:
**DFT total energy**: -9.40 eV/atom

a b c (Å): 4.4918 4.4918 4.4918
angles (deg): 60.00 60.00 60.00
Fractional positions:
Cr 0.0000 0.0000 0.0000
Sb 0.2500 0.2500 0.2500
W 0.5000 0.5000 0.5000
W 0.7500 0.7500 0.7500


No. 3
Computed, not measured: an optimized crystal structure of Cr2SbW at the GGA-PBE level of DFT.

Summary:
**DFT total energy**: -8.67 eV/atom

a b c (Å): 3.0195 3.8744 5.4927
angles (deg): 90.00 90.00 90.00
Fractional positions:
Cr 0.0000 0.0000 0.1926
Cr 0.0000 0.0000 0.8074
Sb 0.5000 0.5000 0.5000
W 0.5000 0.5000 0.0000